A plane-wave DFT calculation with PBE was carried out for a relaxed structure of Er4MgCd2.

a = 5.2836 Å, b = 5.2836 Å, c = 25.8542 Å
α = 90.00°, β = 90.00°, γ = 120.00°
Closest atoms and distances in Å follow each position.
Space group R-3m (No. 166, hexagonal axes)
One atom of each set of equivalent atoms:
Er (0.0000, 0.0000, 0.1281)  3 Mg 3.21, 3 Cd 3.48, 3 Er 3.59
Er (0.0000, 0.0000, 0.2782)  4 Cd 3.06-3.07
Mg (0.0000, 0.0000, 0.5000)  2 Cd 2.66
Cd (0.0000, 0.0000, 0.3970)  1 Mg 2.66

The value obtained for the energy of formation is 102 meV per atom. For the density of states at the Fermi level, the calculation gives 1.6646 states/eV/atom. The energy above the most stable polymorph in this dataset comes out at 185 meV/atom. The volume is 29.765 Å³/atom. As for the crystal system: trigonal.